A relaxed AcTbNO crystal, computed with PBE-GGA.

```
AcTbNO
1.0
4.140 0.000 0.000
0.000 7.405 0.000
0.000 0.000 5.200
Ac Tb N O
2 2 2 2
direct
0.000 0.162 0.000
0.000 0.838 0.500
0.500 0.344 0.502
0.500 0.656 0.002
0.500 0.353 0.997
0.500 0.647 0.497
0.000 0.214 0.501
0.000 0.786 0.001
```

Calculated values
Magnetization, μB/f.u.: 0.663
Final energy, eV/atom: -7.53
Space-group type: Pmc2_1 (26)


A relaxed ZrBe2Ag crystal, computed with PBE-GGA.

```
ZrBe2Ag
1.0
0.000 3.100 3.100
3.100 0.000 3.100
3.100 3.100 0.000
Zr Be Ag
1 2 1
direct
0.000 0.000 0.000
0.250 0.250 0.250
0.500 0.500 0.500
0.750 0.750 0.750
```

Calculated values
Magnetization, μB/f.u.: 0.001
Final energy, eV/atom: -4.53
Space-group type: F-43m (216)


A relaxed NdLu2Al7Cu2 crystal, computed with PBE-GGA.

```
NdLu2Al7Cu2
1.0
2.738 1.581 8.471
-2.738 1.581 8.471
0.000 -3.161 8.471
Nd Lu Al Cu
1 2 7 2
direct
0.000 0.000 0.000
0.142 0.142 0.142
0.858 0.858 0.858
0.074 0.583 0.583
0.417 0.417 0.926
0.417 0.926 0.417
0.500 0.500 0.500
0.583 0.074 0.583
0.583 0.583 0.074
0.926 0.417 0.417
0.335 0.335 0.335
0.665 0.665 0.665
```

Calculated values
Magnetization, μB/f.u.: 0.009
Final energy, eV/atom: -4.43
Space-group type: R-3m (166)


A relaxed Te2MoAs crystal, computed with PBE-GGA.

```
Te2MoAs
1.0
0.000 3.467 3.467
3.467 0.000 3.467
3.467 3.467 0.000
Te Mo As
2 1 1
direct
0.000 0.000 0.000
0.250 0.250 0.250
0.750 0.750 0.750
0.500 0.500 0.500
```

Calculated values
Magnetization, μB/f.u.: 0.003
Final energy, eV/atom: -4.78
Space-group type: F-43m (216)


Q: Among the records above, which one has the lowest magnetization?
A: ZrBe2Ag


Repeat the third record exactly.
A relaxed NdLu2Al7Cu2 crystal, computed with PBE-GGA.

```
NdLu2Al7Cu2
1.0
2.738 1.581 8.471
-2.738 1.581 8.471
0.000 -3.161 8.471
Nd Lu Al Cu
1 2 7 2
direct
0.000 0.000 0.000
0.142 0.142 0.142
0.858 0.858 0.858
0.074 0.583 0.583
0.417 0.417 0.926
0.417 0.926 0.417
0.500 0.500 0.500
0.583 0.074 0.583
0.583 0.583 0.074
0.926 0.417 0.417
0.335 0.335 0.335
0.665 0.665 0.665
```

Calculated values
Magnetization, μB/f.u.: 0.009
Final energy, eV/atom: -4.43
Space-group type: R-3m (166)


Q: Number 2 is which compound?
A: ZrBe2Ag


Q: Among the records above, which one has the lowest magnetization?
A: ZrBe2Ag